1.
DFT (PBE) results for crystalline Ce2MgSb at its relaxed geometry.

Values from the calculation:
Formation energy (no corrections)   -45 kJ/mol of atoms
Magnetic moment   2.59 Bohr magnetons per cell
Fermi-level density of states   2.375 states/eV per atom

Structure (extended XYZ):
```
4
Lattice="-3.2410 1.8708 -1.8389 -0.9496 -3.5614 -1.9495 -3.7880 -1.6987 4.9482" Properties=species:S:1:pos:R:3 pbc="T T T"
Sb -2.0953 -0.8453 -1.8942
Ce -0.8426 -0.3779 1.1007
Ce -2.9454 -1.3208 3.8475
Mg -3.9893 -1.6946 0.5799
```

***

2.
DFT (PBE) results for crystalline NbCu6Pd12 at its relaxed geometry.

Values from the calculation:
Calculated formation energy   -166 meV/atom
Magnetic moment   0.00 Bohr magnetons per cell
Fermi-level density of states   0.463 states/eV per atom

Structure (extended XYZ):
```
19
Lattice="-4.3668 1.4574 4.9644 -1.8891 -6.3621 -2.8718 0.3767 -5.2561 4.9522" Properties=species:S:1:pos:R:3 pbc="T T T"
Pd -4.1637 -4.5210 3.8569
Pd -4.3276 -9.0986 5.0200
Pd -5.2691 -7.0356 3.5496
Pd -3.6345 -5.2042 7.5642
Pd -2.0829 -4.1420 5.5395
Pd -2.2448 -4.9566 -0.5194
Pd -4.7220 -7.6635 7.2930
Pd -1.7155 -5.6399 3.1879
Pd -1.5517 -1.0622 2.0248
Pd -1.1573 -2.4973 -0.2482
Pd -0.6102 -3.1252 3.4952
Pd -3.7963 -6.0189 1.5053
Cu -2.8157 -8.0882 2.9217
Cu -3.2017 -6.6628 5.2415
Cu -2.6775 -3.4980 1.8033
Cu -4.5813 -3.1072 6.1696
Cu -3.0636 -2.0727 4.1231
Cu -1.2980 -7.0536 0.8752
Nb 0.0000 0.0000 0.0000
```

***

3.
DFT (PBE) results for crystalline In5Ga3Hg16 at its relaxed geometry.

Values from the calculation:
Calculated formation energy   39 meV/atom
Magnetic moment   0.00 Bohr magnetons per cell
Fermi-level density of states   0.290 states/eV per atom

Structure (extended XYZ):
```
24
Lattice="-6.4450 -0.5406 -4.0411 -5.5373 -4.8166 2.0735 -3.1733 10.2314 7.6260" Properties=species:S:1:pos:R:3 pbc="T T T"
Ga -5.9117 1.7811 -0.4869
Ga -13.4233 3.5697 4.4890
Ga -5.3989 -0.6347 2.9676
Hg -4.8906 2.2370 2.2903
Hg -8.7312 6.1906 7.5412
Hg -13.0808 0.9216 2.5863
Hg -6.0677 6.5317 3.6584
Hg -8.5994 2.7227 0.5118
Hg -7.6140 -0.3752 0.8679
Hg -11.3559 5.4283 5.4818
Hg -11.0380 -4.0689 -1.2069
Hg -10.5921 -0.3033 1.3602
Hg -8.8723 -1.5710 -1.7940
Hg -8.4769 -3.4337 0.8696
Hg -5.2790 8.3077 6.5934
Hg -8.0750 0.2525 4.0441
Hg -7.1435 3.5644 3.5531
Hg -9.1077 7.9640 5.0054
Hg -5.7121 4.8563 6.0541
In -1.9742 1.9171 1.6337
In -4.7683 -1.0167 -0.0032
In -9.4743 5.5761 2.9624
In -9.0139 3.4070 6.0641
In -10.1523 2.2177 3.0580
```

***

Q: Which value of magnetic moment does entry 3 give?
A: 0.00 Bohr magnetons per cell